Entry 1:
This record from the Alexandria database describes a relaxed Pa2SbN crystal. The functional is PBE-GGA.

The structure in POSCAR format:
```
Pa2SbN
1.0
3.741 0.000 0.000
-1.870 6.956 0.000
0.000 0.000 6.403
Pa N Sb
4 2 2
Direct
0.652 0.305 0.461
0.348 0.695 0.961
0.652 0.305 0.039
0.348 0.695 0.539
0.245 0.490 0.250
0.755 0.510 0.750
0.980 0.960 0.250
0.020 0.040 0.750
```

Summary:
uncorrected formation energy = -0.61 eV/atom
E above lowest polymorph = 0.274 eV/atom
energy = -8.468 eV per atom

Entry 2:
This record from the Alexandria database describes a relaxed CuIr5 crystal. The functional is PBE-GGA.

The structure in POSCAR format:
```
CuIr5
1.0
-0.240 -2.728 -0.175
2.796 1.398 -4.101
6.149 -0.668 1.980
Cu Ir
1 5
Direct
0.002 0.004 0.001
0.331 0.661 0.335
0.726 0.452 0.054
0.387 0.773 0.723
0.665 0.331 0.669
0.056 0.112 0.385
```

Summary:
E above lowest polymorph = 0.000 eV/atom
energy of formation = 0.097 eV per atom
energy = -7.970 eV per atom

Entry 3:
This record from the Alexandria database describes a relaxed RbSnHg2 crystal. The functional is PBE-GGA.

The structure in POSCAR format:
```
RbSnHg2
1.0
-1.535 0.947 4.792
-4.979 0.630 1.016
-2.740 -5.635 2.971
Sn Hg Rb
1 2 1
Direct
0.000 0.000 0.000
0.288 0.288 0.137
0.712 0.712 0.863
0.500 0.500 0.500
```

Summary:
energy of formation = -0.149 eV per atom
energy = -1.543 eV per atom

Entry 4:
This record from the Alexandria database describes a relaxed Re3PbO12 crystal. The functional is PBE-GGA.

The structure in POSCAR format:
```
Re3PbO12
1.0
8.287 0.000 4.002
3.177 7.653 4.002
-0.506 -0.338 11.630
O Re Pb
24 6 2
Direct
0.715 0.400 0.105
0.605 0.603 0.590
0.702 0.103 0.090
0.400 0.779 0.105
0.215 0.279 0.605
0.779 0.715 0.105
0.099 0.508 0.959
0.789 0.377 0.365
0.469 0.789 0.365
0.934 0.008 0.459
0.434 0.099 0.959
0.105 0.702 0.090
0.289 0.969 0.865
0.603 0.202 0.590
0.599 0.934 0.459
0.008 0.599 0.459
0.900 0.215 0.605
0.202 0.605 0.590
0.508 0.434 0.959
0.377 0.469 0.365
0.969 0.877 0.865
0.877 0.289 0.865
0.103 0.105 0.090
0.279 0.900 0.605
0.200 0.489 0.505
0.989 0.700 0.005
0.700 0.306 0.005
0.489 0.806 0.505
0.806 0.200 0.505
0.306 0.989 0.005
0.086 0.086 0.741
0.586 0.586 0.241
```

Summary:
uncorrected formation energy = -1.45 eV/atom
energy = -7.736 eV per atom

Entry 5:
This record from the Alexandria database describes a relaxed CaP2Cl crystal. The functional is PBE-GGA.

The structure in POSCAR format:
```
CaP2Cl
1.0
3.766 0.000 0.000
0.000 3.766 0.000
1.883 1.883 12.490
P Ca Cl
4 2 2
Direct
0.375 0.445 0.750
0.875 0.805 0.750
0.555 0.125 0.250
0.195 0.625 0.250
0.000 0.000 0.000
0.750 0.250 0.500
0.500 0.500 0.000
0.250 0.750 0.500
```

Summary:
uncorrected formation energy = -0.72 eV/atom
E above lowest polymorph = 0.260 eV/atom
energy = -4.385 eV per atom

Entry 6:
This record from the Alexandria database describes a relaxed Rb2BeFeI6 crystal. The functional is PBE-GGA.

The structure in POSCAR format:
```
Rb2BeFeI6
1.0
8.005 0.000 0.000
0.000 8.005 0.000
4.003 4.003 5.908
I Rb Be Fe
6 2 1 1
Direct
0.730 0.730 0.000
0.270 0.270 0.000
0.730 0.270 0.000
0.778 0.778 0.443
0.222 0.222 0.557
0.270 0.730 0.000
0.250 0.750 0.500
0.750 0.250 0.500
0.500 0.500 0.000
0.000 0.000 0.000
```

Summary:
uncorrected formation energy = -0.60 eV/atom
energy = -2.943 eV per atom